[1]
A relaxed Tc2AsRu crystal. Source: Alexandria via LeMat-Bulk, functional PBE.

```
Tc2AsRu
1.0
-1.8930 1.8930 4.0151
1.8930 -1.8930 4.0151
1.8930 1.8930 -4.0151
Tc As Ru
2 1 1
Cartesian
1.8930 0.0000 2.0075 Tc
0.0000 1.8930 2.0075 Tc
0.0000 0.0000 0.0000 As
0.0000 0.0000 4.0151 Ru
```

Values from the calculation:
Formation enthalpy at 0 K = 0.16 eV/atom
Total energy = -8.507 eV per atom

---

[2]
A relaxed TcAsRu2 crystal. Source: Alexandria via LeMat-Bulk, functional PBE.

```
TcAsRu2
1.0
2.8837 0.0000 0.0000
0.0000 2.8837 0.0000
0.0000 0.0000 6.8487
Tc As Ru
1 1 2
Cartesian
0.0000 0.0000 0.0000 Tc
0.0000 0.0000 3.4243 As
1.4418 1.4418 1.8384 Ru
1.4418 1.4418 5.0103 Ru
```

Values from the calculation:
Formation enthalpy at 0 K = 0.01 eV/atom
Total energy = -8.377 eV per atom

---

[3]
A relaxed Tc2AsRu crystal. Source: Alexandria via LeMat-Bulk, functional PBE.

```
Tc2AsRu
1.0
4.5543 -1.4240 0.0000
4.5543 1.4240 0.0000
-0.4344 0.0000 4.5254
Tc As Ru
2 1 1
Cartesian
2.0434 0.0000 1.0833 Tc
6.6307 0.0000 3.4421 Tc
-0.2172 0.0000 2.2627 As
4.5543 0.0000 0.0000 Ru
```

Values from the calculation:
Formation enthalpy at 0 K = 0.11 eV/atom
Total energy = -8.556 eV per atom

---

[4]
A relaxed Tc2AsRu crystal. Source: Alexandria via LeMat-Bulk, functional PBE.

```
Tc2AsRu
1.0
-1.9100 1.9100 3.9476
1.9100 -1.9100 3.9476
1.9100 1.9100 -3.9476
Tc As Ru
2 1 1
Cartesian
0.0000 0.0000 0.0000 Tc
0.0000 1.9100 1.9738 Tc
1.9100 0.0000 1.9738 As
0.0000 0.0000 3.9476 Ru
```

Values from the calculation:
Formation enthalpy at 0 K = 0.16 eV/atom
Total energy = -8.507 eV per atom

---

[5]
A relaxed TcAsRu2 crystal. Source: Alexandria via LeMat-Bulk, functional PBE.

```
TcAsRu2
1.0
-1.4681 2.1950 4.4441
1.4681 -2.1950 4.4441
1.4681 2.1950 -4.4441
Tc As Ru
1 1 2
Cartesian
0.0000 0.0000 0.0000 Tc
1.4681 0.0000 1.9978 As
0.0000 0.0000 3.9307 Ru
0.0000 2.1950 2.0095 Ru
```

Values from the calculation:
Formation enthalpy at 0 K = 0.04 eV/atom
Total energy = -8.355 eV per atom

---

[6]
A relaxed Tc2AsRu crystal. Source: Alexandria via LeMat-Bulk, functional PBE.

```
Tc2AsRu
1.0
1.4155 0.8172 8.4212
-1.4155 0.8172 8.4212
0.0000 -1.6345 8.4212
Tc As Ru
2 1 1
Cartesian
0.0000 0.0000 0.0000 Tc
0.0000 0.0000 6.2770 Tc
0.0000 0.0000 18.9360 As
0.0000 0.0000 12.5296 Ru
```

Values from the calculation:
Formation enthalpy at 0 K = 0.09 eV/atom
Total energy = -8.578 eV per atom

---

- Which value of formation enthalpy at 0 K does entry 2 give?
  0.01 eV/atom